Computed, not measured: a geometry-optimized SrP2H4O4 structure at the GGA-PBE level of DFT.

POSCAR file:
```
SrP2H4O4
1.0
8.6295 0.0225 -0.1017
6.5244 5.6482 -0.1017
0.3110 0.1164 5.9963
P O H Sr
4 8 8 2
Direct
0.3840 0.8845 0.7345 P
0.1155 0.6160 0.7655 P
0.6160 0.1155 0.2655 P
0.8845 0.3840 0.2345 P
0.0121 0.8184 0.6062 O
0.4887 0.6816 0.5867 O
0.8184 0.0121 0.1062 O
0.5113 0.3184 0.4133 O
0.6816 0.4887 0.0867 O
0.9879 0.1816 0.3938 O
0.1816 0.9879 0.8938 O
0.3184 0.5113 0.9133 O
0.4318 0.1891 0.1418 H
0.9304 0.6916 0.9019 H
0.6916 0.9304 0.4019 H
0.0696 0.3084 0.0981 H
0.1891 0.4318 0.6418 H
0.3084 0.0696 0.5981 H
0.5682 0.8109 0.8582 H
0.8109 0.5682 0.3582 H
0.7499 0.2501 0.7500 Sr
0.2501 0.7499 0.2500 Sr
```

* total DFT energy (no corrections): -62.4 eV per formula unit